# BiMoIO2

A relaxed structure of BiMoIO2 (GGA+U, Alexandria via LeMat-Bulk).

Lattice parameters (Å, degrees): 4.333 4.333 6.731 90.00 90.00 90.00
Space group P4/mmm (No. 123)
Unique sites:
1 Bi 0.000 0.000 0.000 (multiplicity 1)
2 Mo 0.500 0.500 0.500 (multiplicity 1)
3 I 0.000 0.000 0.500 (multiplicity 1)
4 O 0.000 0.500 0.000 (multiplicity 2)

## Properties
uncorrected energy	-4.478	eV/atom